# La6Ni2Au

A geometry-optimized La6Ni2Au structure (GGA-PBE, the Alexandria database).

Volume: 28.62 Å³ per atom
Fermi-level density of states: 17.45 states/eV/cell
ΔE_f: -0.336 eV/atom
SG: Immm, No. 71
Final energy: -5.27 eV/atom

abc: 8.766 8.766 8.766
angles: 106.07 107.74 114.74
Sites, in units of the cell vectors:
Ni 0.500 0.629 0.129
Ni 0.363 0.000 0.363
Ni 0.500 0.371 0.871
Ni 0.637 0.000 0.637
La 0.300 0.969 0.669
La 0.300 0.631 0.331
La 0.799 0.216 0.016
La 0.124 0.299 0.825
La 0.799 0.784 0.583
La 0.474 0.299 0.175
La 0.201 0.216 0.417
La 0.700 0.031 0.331
La 0.526 0.701 0.825
La 0.876 0.701 0.175
La 0.201 0.784 0.984
La 0.700 0.369 0.669
Au 0.000 0.000 0.000
Au 0.000 0.500 0.500